CoCu2Se: PBEsol geometry, SCAN.

```
data_CoCu2Se
_chemical_formula_sum 'Co1 Cu2 Se1'
_space_group_name_H-M_alt 'P 1 2/m 1'
_space_group_IT_number 10
_cell_length_a 2.803
_cell_length_b 4.446
_cell_length_c 4.080
_cell_angle_alpha 90.00
_cell_angle_beta 90.11
_cell_angle_gamma 90.00
loop_
_space_group_symop_operation_xyz
'x,y,z'
'-x,-y,-z'
'-x,y,-z'
'x,-y,z'
loop_
_atom_site_label
_atom_site_type_symbol
_atom_site_fract_x
_atom_site_fract_y
_atom_site_fract_z
Co1 Co 0.000 0.000 0.000
Cu1 Cu 0.267 0.500 0.759
Se1 Se 0.500 0.000 0.500
```

Computed properties:
Energy (eV per atom): -16.613
DOS(E_F) (states/eV per atom): 0.38

---

CoCu2Se: PBEsol geometry, SCAN.

```
data_CoCu2Se
_chemical_formula_sum 'Co2 Cu4 Se2'
_space_group_name_H-M_alt 'I -4 m 2'
_space_group_IT_number 119
_space_group_name_Hall 'I -4 -2'
_cell_length_a 3.672
_cell_length_b 3.672
_cell_length_c 7.297
_cell_angle_alpha 90.00
_cell_angle_beta 90.00
_cell_angle_gamma 90.00
loop_
_atom_site_label
_atom_site_type_symbol
_atom_site_fract_x
_atom_site_fract_y
_atom_site_fract_z
Co1 Co 0.000 0.000 0.000
Cu1 Cu 0.000 0.000 0.500
Cu2 Cu 0.000 0.500 0.250
Se1 Se 0.000 0.500 0.750
```

Computed properties:
Energy (eV per atom): -16.640
DOS(E_F) (states/eV per atom): 0.54

---

Question: Which formula does entry 2 have?
Answer: CoCu2Se